28
Lattice="-7.385 -0.294 -2.427 -5.216 -5.000 4.010 -5.513 4.911 3.712" Properties=species:S:1:pos:R:3 comment="GGA+U CdW2F11, optimized geometry" dft_energy_ev_per_atom=-5.0391 magnetic_moment_mub_per_cell=6.0 spacegroup=Ibam pbc="T T T"
F -13.859 -2.215 2.651
W -10.046 -2.018 2.359
F -10.528 -0.987 0.734
F -11.694 -3.116 1.839
F -9.213 -3.327 1.116
F -10.093 1.909 2.264
F -4.256 1.832 2.645
F -7.984 2.888 1.395
Cd -13.586 -0.287 3.972
W -8.068 1.635 2.937
W -6.312 -3.257 3.614
F 0.000 0.000 0.000
F -7.586 0.604 4.562
F -10.130 -3.270 3.901
F -8.902 2.944 4.180
F -12.558 1.594 3.003
Cd -4.529 -0.096 1.324
F -12.242 0.501 5.767
F -5.873 -0.884 -0.471
F -15.742 -1.025 4.645
F -11.387 -0.934 3.341
F -9.057 -0.191 2.648
F -6.727 0.551 1.955
F -8.021 -2.292 3.032
F -5.556 -1.977 2.293
F -2.372 0.642 0.651
W -11.802 2.874 1.682
F -6.420 2.733 3.457